# PBE-GGA KZr2NbI, optimized geometry
# relative energy among the computed polymorphs: 0.000 eV/atom
# uncorrected formation energy: 709 meV per atom
data_KZr2NbI
_chemical_formula_sum 'K1 Zr2 Nb1 I1'
_symmetry_space_group_name_H-M 'P 4/m m m'
_symmetry_Int_Tables_number 123
_symmetry_space_group_name_Hall '-P 4 2'
_cell_length_a 5.131
_cell_length_b 5.131
_cell_length_c 6.393
_cell_angle_alpha 90.00
_cell_angle_beta 90.00
_cell_angle_gamma 90.00
loop_
_atom_site_label
_atom_site_type_symbol
_atom_site_fract_x
_atom_site_fract_y
_atom_site_fract_z
K1 K 0.000 0.000 0.000
Zr1 Zr 0.000 0.500 0.500
Nb1 Nb 0.500 0.500 0.500
I1 I 0.500 0.500 0.000

=====

# PBE-GGA LaPmEr2, optimized geometry
# relative energy among the computed polymorphs: 0.000 eV/atom
# calculated formation energy: 16 meV/atom
data_LaPmEr2
_chemical_formula_sum 'La3 Pm3 Er6'
_symmetry_space_group_name_H-M 'R -3 m'
_symmetry_Int_Tables_number 166
_symmetry_space_group_name_Hall '-R 3 2"'
_cell_length_a 3.6127
_cell_length_b 3.6127
_cell_length_c 34.8725
_cell_angle_alpha 90.00
_cell_angle_beta 90.00
_cell_angle_gamma 120.00
loop_
_atom_site_label
_atom_site_type_symbol
_atom_site_fract_x
_atom_site_fract_y
_atom_site_fract_z
La1 La 0.0000 0.0000 0.0000
Pm1 Pm 0.0000 0.0000 0.5000
Er1 Er 0.0000 0.0000 0.2491

=====

# PBE-GGA Na2TlPb, optimized geometry
# calculated formation energy: 16 meV/atom
data_Na2TlPb
_chemical_formula_sum 'Na8 Tl4 Pb4'
_symmetry_space_group_name_H-M 'I -4 2 d'
_symmetry_Int_Tables_number 122
_symmetry_space_group_name_Hall 'I -4 2bw'
_cell_length_a 8.749
_cell_length_b 8.749
_cell_length_c 6.569
_cell_angle_alpha 90.00
_cell_angle_beta 90.00
_cell_angle_gamma 90.00
loop_
_atom_site_label
_atom_site_type_symbol
_atom_site_fract_x
_atom_site_fract_y
_atom_site_fract_z
Na1 Na 0.247 0.750 0.125
Tl1 Tl 0.000 0.000 0.000
Pb1 Pb 0.000 0.000 0.500

=====

# PBE-GGA BaZn2AgAu, optimized geometry
# relative energy among the computed polymorphs: 0.138 eV/atom
# calculated formation energy: -188 meV/atom
data_BaZn2AgAu
_chemical_formula_sum 'Ba1 Zn2 Ag1 Au1'
_symmetry_space_group_name_H-M 'P 4/m m m'
_symmetry_Int_Tables_number 123
_symmetry_space_group_name_Hall '-P 4 2'
_cell_length_a 4.967
_cell_length_b 4.967
_cell_length_c 5.399
_cell_angle_alpha 90.00
_cell_angle_beta 90.00
_cell_angle_gamma 90.00
loop_
_atom_site_label
_atom_site_type_symbol
_atom_site_fract_x
_atom_site_fract_y
_atom_site_fract_z
Ba1 Ba 0.000 0.000 0.000
Zn1 Zn 0.000 0.500 0.500
Ag1 Ag 0.500 0.500 0.000
Au1 Au 0.500 0.500 0.500

=====

# PBE-GGA TbYAgAu, optimized geometry
# relative energy among the computed polymorphs: 0.005 eV/atom
# calculated formation energy: -588 meV/atom
data_TbYAgAu
_chemical_formula_sum 'Tb4 Y4 Ag4 Au4'
_symmetry_space_group_name_H-M 'F -4 3 m'
_symmetry_Int_Tables_number 216
_symmetry_space_group_name_Hall 'F -4 2 3'
_cell_length_a 7.252
_cell_length_b 7.252
_cell_length_c 7.252
_cell_angle_alpha 90.00
_cell_angle_beta 90.00
_cell_angle_gamma 90.00
loop_
_atom_site_label
_atom_site_type_symbol
_atom_site_fract_x
_atom_site_fract_y
_atom_site_fract_z
Tb1 Tb 0.000 0.000 0.000
Y1 Y 0.000 0.000 0.500
Ag1 Ag 0.250 0.250 0.750
Au1 Au 0.250 0.250 0.250

=====

# PBE-GGA Sm4Cd2C, optimized geometry
# relative energy among the computed polymorphs: 0.000 eV/atom
# calculated formation energy: -157 meV/atom
data_Sm4Cd2C
_chemical_formula_sum 'Sm8 Cd4 C2'
_symmetry_space_group_name_H-M 'I 4/m m m'
_symmetry_Int_Tables_number 139
_symmetry_space_group_name_Hall '-I 4 2'
_cell_length_a 5.082
_cell_length_b 5.082
_cell_length_c 15.241
_cell_angle_alpha 90.00
_cell_angle_beta 90.00
_cell_angle_gamma 90.00
loop_
_atom_site_label
_atom_site_type_symbol
_atom_site_fract_x
_atom_site_fract_y
_atom_site_fract_z
Sm1 Sm 0.000 0.000 0.164
Sm2 Sm 0.000 0.500 0.000
Cd1 Cd 0.000 0.000 0.369
C1 C 0.000 0.000 0.000

=====

Table of energy (eV/cell), in record order: -26.27, -56.22, -34.60, -11.54, -78.30, -62.06
Table of spin magnetization (μB/atom), in record order: 0.0000, 0.0000, 0.0000, 0.0000, 0.0000, 0.0000